Entry from Alexandria: LaAsPt2O at its PBEsol-relaxed geometry (SCAN).

Output
- ΔE_f (raw) (eV/atom) = -0.394

Geometry as CIF:
```
data_LaAsPt2O
_chemical_formula_sum 'La1 As1 Pt2 O1'
_cell_length_a 4.370
_cell_length_b 4.370
_cell_length_c 4.598
_cell_angle_alpha 90.00
_cell_angle_beta 90.00
_cell_angle_gamma 90.00
_symmetry_space_group_name_H-M 'P 1'
_symmetry_Int_Tables_number 1
loop_
_symmetry_equiv_pos_as_xyz
'x,y,z'
loop_
_atom_site_label
_atom_site_fract_x
_atom_site_fract_y
_atom_site_fract_z
_atom_site_occupancy
La1 0.000 0.000 0.000 1
As1 0.500 0.500 0.000 1
Pt1 0.000 0.500 0.500 1
Pt2 0.500 0.000 0.500 1
O1 0.500 0.500 0.500 1
```


Entry from Alexandria: La4As2S5O4 at its PBEsol-relaxed geometry (SCAN).

Output
- ΔE_f (raw) (eV/atom) = -2.391

Geometry as CIF:
```
data_La4As2S5O4
_chemical_formula_sum 'La4 As2 S5 O4'
_cell_length_a 4.076
_cell_length_b 8.376
_cell_length_c 9.137
_cell_angle_alpha 103.32
_cell_angle_beta 102.55
_cell_angle_gamma 90.07
_symmetry_space_group_name_H-M 'P 1'
_symmetry_Int_Tables_number 1
loop_
_symmetry_equiv_pos_as_xyz
'x,y,z'
loop_
_atom_site_label
_atom_site_fract_x
_atom_site_fract_y
_atom_site_fract_z
_atom_site_occupancy
La1 0.000 0.000 0.000 1
La2 0.001 0.524 0.007 1
La3 0.360 0.687 0.721 1
La4 0.366 0.198 0.739 1
As1 0.004 0.861 0.369 1
As2 0.766 0.342 0.349 1
S1 0.147 0.544 0.353 1
S2 0.157 0.137 0.356 1
S3 0.571 0.804 0.160 1
S4 0.783 0.913 0.581 1
S5 0.795 0.405 0.603 1
O1 0.440 0.979 0.869 1
O2 0.441 0.480 0.877 1
O3 0.936 0.726 0.863 1
O4 0.949 0.236 0.898 1
```


Entry from Alexandria: LaAsW2O at its PBEsol-relaxed geometry (SCAN).

Output
- ΔE_f (raw) (eV/atom) = 1.178

Geometry as CIF:
```
data_LaAsW2O
_chemical_formula_sum 'La1 As1 W2 O1'
_cell_length_a 4.508
_cell_length_b 4.508
_cell_length_c 5.906
_cell_angle_alpha 90.00
_cell_angle_beta 90.00
_cell_angle_gamma 90.00
_symmetry_space_group_name_H-M 'P 1'
_symmetry_Int_Tables_number 1
loop_
_symmetry_equiv_pos_as_xyz
'x,y,z'
loop_
_atom_site_label
_atom_site_fract_x
_atom_site_fract_y
_atom_site_fract_z
_atom_site_occupancy
La1 0.000 0.000 0.000 1
As1 0.000 0.000 0.500 1
W1 0.000 0.500 0.500 1
W2 0.500 0.000 0.500 1
O1 0.500 0.500 0.000 1
```


Entry from Alexandria: LaZnAsO at its PBEsol-relaxed geometry (SCAN).

Output
- ΔE_f (raw) (eV/atom) = -2.082

Geometry as CIF:
```
data_LaZnAsO
_chemical_formula_sum 'La2 Zn2 As2 O2'
_cell_length_a 4.054
_cell_length_b 4.054
_cell_length_c 8.943
_cell_angle_alpha 90.00
_cell_angle_beta 90.00
_cell_angle_gamma 90.00
_symmetry_space_group_name_H-M 'P 1'
_symmetry_Int_Tables_number 1
loop_
_symmetry_equiv_pos_as_xyz
'x,y,z'
loop_
_atom_site_label
_atom_site_fract_x
_atom_site_fract_y
_atom_site_fract_z
_atom_site_occupancy
La1 0.250 0.250 0.135 1
La2 0.750 0.750 0.865 1
Zn1 0.250 0.750 0.500 1
Zn2 0.750 0.250 0.500 1
As1 0.250 0.250 0.673 1
As2 0.750 0.750 0.327 1
O1 0.250 0.750 0.000 1
O2 0.750 0.250 0.000 1
```